# 1
VASP calculation (GGA-PBE) on a relaxed Er6Ga3Pt crystal.

Computed properties:
E_form ... -588 meV per atom
V ... 24.5 A^3/atom
DOS(E_F) ... 0.756 states/eV per atom

extended XYZ file:
```
20
Lattice="4.956 0.000 0.001 0.000 8.590 0.000 -0.002 0.000 11.500" Properties=species:S:1:pos:R:3 pbc="T T T"
Er 2.477 1.400 10.497
Er 2.477 1.500 6.749
Er 2.477 4.257 2.912
Er 2.477 4.333 8.589
Er 2.477 7.090 4.751
Er 2.478 7.190 1.004
Er -0.001 2.895 4.746
Er 4.956 2.795 1.000
Er 4.955 0.038 8.662
Er 0.000 8.552 2.839
Er -0.001 5.795 10.500
Er 4.955 5.695 6.754
Ga 2.477 7.199 8.438
Ga 2.478 4.295 0.000
Ga 2.478 1.390 3.062
Ga 4.955 5.685 2.684
Ga -0.001 0.000 5.750
Ga -0.001 2.905 8.816
Pt 2.477 4.295 5.750
Pt 0.000 0.000 0.000
```

=====

# 2
VASP calculation (GGA-PBE) on a relaxed LuSiO2 crystal.

Computed properties:
Raw formation energy ... -1.30 eV/atom
V ... 13.9 A^3/atom
DOS(E_F) ... 0.898 states/eV per atom

extended XYZ file:
```
4
Lattice="3.214 0.000 0.000 1.607 2.783 0.000 1.607 0.928 6.224" Properties=species:S:1:pos:R:3 pbc="T T T"
Si 3.214 1.856 3.112
Lu 0.000 0.000 0.000
O 1.607 0.928 3.997
O 4.821 2.783 2.226
```

=====

# 3
VASP calculation (GGA-PBE) on a relaxed InAg2Sb2 crystal.

Computed properties:
Raw formation energy ... 0.18 eV/atom
V ... 26.1 A^3/atom
DOS(E_F) ... 0.363 states/eV per atom
Energy relative to the lowest polymorph listed for this composition ... 81 meV per atom

extended XYZ file:
```
5
Lattice="4.392 0.000 0.000 0.000 4.392 0.000 2.196 2.196 6.753" Properties=species:S:1:pos:R:3 pbc="T T T"
Sb 4.392 2.196 3.376
Sb 2.196 4.392 3.376
Ag 2.196 2.196 1.350
Ag 4.392 4.392 5.403
In 0.000 0.000 0.000
```